First-principles (PBE-GGA) data for a relaxed NaAcHg crystal, as listed in Alexandria via LeMat-Bulk.

abc: 5.3636 5.3636 3.8208
angles: 90.00 90.00 120.00
Space group P3m1 (No. 156)
Unique sites:
Na (0.0000, 0.0000, 0.0000) [1 per cell]
Ac (0.3333, 0.6667, 0.5006) [1 per cell]
Hg (0.6667, 0.3333, 0.0021) [1 per cell]

Energy of formation from the pure elements (eV/atom): -0.16
Energy above the most stable polymorph in this dataset (meV/atom): 64

First-principles (PBE-GGA) data for a relaxed PmDyPd4 crystal, as listed in Alexandria via LeMat-Bulk.

abc: 7.746 7.746 7.746
angles: 90.00 90.00 90.00
Space group F-43m (No. 216)
Unique sites:
Pm (0.000, 0.000, 0.000) [4 per cell]
Dy (0.250, 0.250, 0.250) [4 per cell]
Pd (0.125, 0.125, 0.625) [16 per cell]

Energy of formation from the pure elements (eV/atom): -0.79
Energy above the most stable polymorph in this dataset (meV/atom): 57

First-principles (PBE-GGA) data for a relaxed Ta2PtBr crystal, as listed in Alexandria via LeMat-Bulk.

abc: 8.659 2.919 5.807
angles: 90.00 99.20 90.00
Space group C2/m (No. 12)
Unique sites:
Ta (0.248, 0.000, 0.245) [4 per cell]
Pt (0.000, 0.500, 0.000) [2 per cell]
Br (0.000, 0.000, 0.500) [2 per cell]

ΔE_f (raw) (meV/atom): 210
Energy above the most stable polymorph in this dataset (meV/atom): 293

First-principles (PBE-GGA) data for a relaxed HoBe6Ir2 crystal, as listed in Alexandria via LeMat-Bulk.

abc: 3.682 6.140 9.764
angles: 90.00 90.00 90.00
Space group Immm (No. 71)
Unique sites:
Ho (0.000, 0.000, 0.000) [2 per cell]
Be (0.000, 0.160, 0.500) [4 per cell]
Be (0.000, 0.207, 0.287) [8 per cell]
Ir (0.000, 0.500, 0.138) [4 per cell]

Energy of formation from the pure elements (eV/atom): -0.36

First-principles (PBE-GGA) data for a relaxed CdTeIr crystal, as listed in Alexandria via LeMat-Bulk.

abc: 4.346 3.656 8.904
angles: 90.00 90.00 90.00
Space group Amm2 (No. 38)
Unique sites:
Cd (0.000, 0.000, 0.000) [2 per cell]
Te (0.500, 0.000, 0.742) [2 per cell]
Ir (0.500, 0.000, 0.451) [2 per cell]

ΔE_f (raw) (meV/atom): 140
Energy above the most stable polymorph in this dataset (meV/atom): 81

First-principles (PBE-GGA) data for a relaxed ZnCr2Fe crystal, as listed in Alexandria via LeMat-Bulk.

abc: 2.926 4.002 8.214
angles: 90.00 90.00 90.00
Space group Cmm2 (No. 35)
Unique sites:
Zn (0.000, 0.000, 0.000) [2 per cell]
Cr (0.000, 0.000, 0.505) [2 per cell]
Cr (0.000, 0.500, 0.265) [2 per cell]
Fe (0.000, 0.500, 0.743) [2 per cell]

Energy of formation from the pure elements (eV/atom): 0.09